Entry 1:
# Nb2BAsO (GGA-PBE, relaxed)
# ΔE_f (raw), eV per atom: -0.0371
# E, eV for the cell shown: -36.61
# M_tot, μB/cell: 0.00
data_Nb2BAsO
_symmetry_space_group_name_H-M 'P 1'
_symmetry_Int_Tables_number 1
_cell_length_a 4.560
_cell_length_b 4.560
_cell_length_c 3.299
_cell_angle_alpha 90.00
_cell_angle_beta 90.00
_cell_angle_gamma 90.00
loop_
_symmetry_equiv_pos_as_xyz
'x,y,z'
loop_
_atom_site_label
_atom_site_type_symbol
_atom_site_fract_x
_atom_site_fract_y
_atom_site_fract_z
Nb1 Nb 0.000 0.500 0.000
Nb2 Nb 0.500 0.000 0.000
B1 B 0.000 0.000 0.000
As1 As 0.500 0.500 0.500
O1 O 0.000 0.000 0.500

***

Entry 2:
# NbBAs2Pt (GGA-PBE, relaxed)
# E, eV for the cell shown: -23.85
# M_tot, μB/cell: 1.36
# Energy of formation, meV per atom: 1647
data_NbBAs2Pt
_symmetry_space_group_name_H-M 'P 1'
_symmetry_Int_Tables_number 1
_cell_length_a 4.699
_cell_length_b 4.699
_cell_length_c 5.261
_cell_angle_alpha 90.00
_cell_angle_beta 90.00
_cell_angle_gamma 90.00
loop_
_symmetry_equiv_pos_as_xyz
'x,y,z'
loop_
_atom_site_label
_atom_site_type_symbol
_atom_site_fract_x
_atom_site_fract_y
_atom_site_fract_z
Nb1 Nb 0.000 0.000 0.000
B1 B 0.500 0.500 0.000
As1 As 0.000 0.500 0.500
As2 As 0.500 0.000 0.500
Pt1 Pt 0.000 0.000 0.500

***

Entry 3:
# NbBAs2Rh (GGA-PBE, relaxed)
# E, eV for the cell shown: -29.48
# M_tot, μB/cell: 0.00
# Energy of formation, meV per atom: 784
data_NbBAs2Rh
_symmetry_space_group_name_H-M 'P 1'
_symmetry_Int_Tables_number 1
_cell_length_a 4.900
_cell_length_b 4.900
_cell_length_c 3.801
_cell_angle_alpha 90.00
_cell_angle_beta 90.00
_cell_angle_gamma 90.00
loop_
_symmetry_equiv_pos_as_xyz
'x,y,z'
loop_
_atom_site_label
_atom_site_type_symbol
_atom_site_fract_x
_atom_site_fract_y
_atom_site_fract_z
Nb1 Nb 0.000 0.000 0.000
B1 B 0.500 0.500 0.000
As1 As 0.000 0.500 0.500
As2 As 0.500 0.000 0.500
Rh1 Rh 0.500 0.500 0.500

***

Entry 4:
# Nb2SnBAs (GGA-PBE, relaxed)
# E, eV for the cell shown: -31.15
# M_tot, μB/cell: 0.00
# Energy of formation, meV per atom: 864
data_Nb2SnBAs
_symmetry_space_group_name_H-M 'P 1'
_symmetry_Int_Tables_number 1
_cell_length_a 4.962
_cell_length_b 4.962
_cell_length_c 3.852
_cell_angle_alpha 90.00
_cell_angle_beta 90.00
_cell_angle_gamma 90.00
loop_
_symmetry_equiv_pos_as_xyz
'x,y,z'
loop_
_atom_site_label
_atom_site_type_symbol
_atom_site_fract_x
_atom_site_fract_y
_atom_site_fract_z
Nb1 Nb 0.000 0.500 0.000
Nb2 Nb 0.500 0.000 0.000
Sn1 Sn 0.000 0.000 0.500
B1 B 0.500 0.500 0.500
As1 As 0.500 0.500 0.000